(1)
The following is a SCAN calculation of a crystal of MnGaTe2N relaxed with PBEsol, from Alexandria.

Computed properties:
* offset from the most stable computed form: 434 meV per atom
* formation energy from raw total energies: 0.5339 eV per atom

a b c (Å): 3.451 5.660 5.660
angles (deg): 90.00 90.00 90.00
Positions (direct):
Mn1 0.500 0.500 0.500
Te1 0.000 0.000 0.500
Te2 0.000 0.500 0.000
Ga1 0.000 0.000 0.000
N1 0.500 0.000 0.000


(2)
The following is a SCAN calculation of a crystal of Ni2HgIr relaxed with PBEsol, from Alexandria.

Computed properties:
* formation enthalpy at 0 K: 26.9 kJ/mol of atoms

a b c (Å): 2.748 2.748 8.565
angles (deg): 80.77 80.77 60.00
Positions (direct):
Hg1 0.500 0.500 0.500
Ir1 0.000 0.000 0.000
Ni1 0.255 0.255 0.234
Ni2 0.745 0.745 0.766


(3)
The following is a SCAN calculation of a crystal of Ta2B2Mo relaxed with PBEsol, from Alexandria.

Computed properties:
* formation enthalpy at 0 K: -68.6 kJ/mol of atoms

a b c (Å): 3.253 6.062 6.062
angles (deg): 90.00 90.00 90.00
Positions (direct):
Mo1 0.000 0.000 0.000
Mo2 0.000 0.500 0.500
B1 0.000 0.390 0.890
B2 0.000 0.890 0.610
B3 0.000 0.610 0.110
B4 0.000 0.110 0.390
Ta1 0.500 0.179 0.679
Ta2 0.500 0.679 0.821
Ta3 0.500 0.821 0.321
Ta4 0.500 0.321 0.179